Below is Nd2TiAl2Pt5 after structural relaxation, with properties calculated at the PBE level.

The structure in POSCAR format:
```
Nd2TiAl2Pt5
1.0
3.3612 0.0000 0.0000
0.0000 10.5114 0.0000
0.0000 0.0000 10.5114
Pt Al Nd Ti
10 4 4 2
Direct
0.5000 0.1972 0.0498 Pt
0.5000 0.9502 0.1972 Pt
0.5000 0.3028 0.5498 Pt
0.5000 0.4502 0.3028 Pt
0.5000 0.0000 0.5000 Pt
0.5000 0.0498 0.8028 Pt
0.5000 0.5498 0.6972 Pt
0.5000 0.8028 0.9502 Pt
0.5000 0.5000 0.0000 Pt
0.5000 0.6972 0.4502 Pt
0.0000 0.6268 0.8732 Al
0.0000 0.3732 0.1268 Al
0.0000 0.1268 0.6268 Al
0.0000 0.8732 0.3732 Al
0.0000 0.1764 0.3236 Nd
0.0000 0.6764 0.1764 Nd
0.0000 0.3236 0.8236 Nd
0.0000 0.8236 0.6764 Nd
0.0000 0.5000 0.5000 Ti
0.0000 0.0000 0.0000 Ti
```

The calculation puts the total DFT energy (no corrections) at -129.4 eV per cell.

Below is Ac3HgGe2Pd9 after structural relaxation, with properties calculated at the PBE level.

The structure in POSCAR format:
```
Ac3HgGe2Pd9
1.0
5.9579 0.0000 0.0000
-2.9789 5.1597 0.0000
0.0000 0.0000 11.2182
Ac Ge Pd Hg
3 2 9 1
Direct
0.6667 0.3333 0.3683 Ac
0.3333 0.6667 0.6317 Ac
0.0000 0.0000 0.0000 Ac
0.6667 0.3333 0.8420 Ge
0.3333 0.6667 0.1580 Ge
0.3218 0.1609 0.6956 Pd
0.1609 0.3218 0.3044 Pd
0.5000 0.0000 0.0000 Pd
0.8391 0.6782 0.6956 Pd
0.8391 0.1609 0.6956 Pd
0.0000 0.5000 0.0000 Pd
0.5000 0.5000 0.0000 Pd
0.6782 0.8391 0.3044 Pd
0.1609 0.8391 0.3044 Pd
0.0000 0.0000 0.5000 Hg
```

The calculation puts the total DFT energy (no corrections) at -77.3 eV per cell.

Below is MnCdIr2 after structural relaxation, with properties calculated at the PBE level.

The structure in POSCAR format:
```
MnCdIr2
1.0
-0.9137 -2.7377 -0.4816
0.1904 -0.8831 4.6587
-4.3138 1.3632 0.4347
Cd Mn Ir
1 1 2
Direct
0.0000 0.5000 0.5000 Cd
0.5000 0.0000 0.5000 Mn
0.0000 0.0000 0.0000 Ir
0.5000 0.5000 0.0000 Ir
```

The calculation puts the total DFT energy (no corrections) at -26.8 eV per cell.

Below is FeTe2Ir after structural relaxation, with properties calculated at the PBE level.

The structure in POSCAR format:
```
FeTe2Ir
1.0
3.5111 0.0000 0.0000
0.0000 3.5111 0.0000
0.0000 0.0000 7.2889
Te Fe Ir
2 1 1
Direct
0.5000 0.5000 0.3619 Te
0.0000 0.0000 0.8846 Te
0.0000 0.0000 0.5343 Fe
0.5000 0.5000 0.7192 Ir
```

For the formation energy (no corrections), the calculation gives 13.1 kJ per mole of atoms. As for the offset from the most stable computed form: 0.53 eV/f.u.